This record from the Alexandria database describes crystalline Zn2CoRh9 at its relaxed geometry. The functional is GGA-PBE.

a = 3.813 Å, b = 3.813 Å, c = 11.503 Å
α = 90.00°, β = 90.00°, γ = 90.00°
Site moments in Bohr magnetons follow the coordinates.
Element x y z (fractional)
Zn1 0.000 0.000 0.332  0.00
Zn2 0.000 0.000 0.668  0.00
Co1 0.000 0.000 0.000  -1.91
Rh1 0.500 0.500 0.000  -0.44
Rh2 0.500 0.500 0.331  -0.12
Rh3 0.500 0.500 0.669  -0.12
Rh4 0.500 0.000 0.162  -0.30
Rh5 0.500 0.000 0.500  -0.02
Rh6 0.500 0.000 0.838  -0.30
Rh7 0.000 0.500 0.162  -0.30
Rh8 0.000 0.500 0.500  -0.02
Rh9 0.000 0.500 0.838  -0.30

Properties
The space group is No. 123. The total energy is -6.3804 eV/atom. The formation energy comes out at -0.062 eV/atom.

=====

This record from the Alexandria database describes crystalline TaZnHg2 at its relaxed geometry. The functional is GGA-PBE.

a = 2.978 Å, b = 4.256 Å, c = 6.054 Å
α = 90.00°, β = 90.00°, γ = 90.00°
Element x y z (fractional)
Hg1 0.000 0.000 0.999
Hg2 0.000 0.000 0.501
Ta1 0.500 0.500 0.250
Zn1 0.500 0.500 0.750

Properties
The space group is No. 47. The total energy is -3.0074 eV/atom. The formation energy comes out at 0.425 eV/atom.

=====

This record from the Alexandria database describes crystalline DySc3Al2 at its relaxed geometry. The functional is GGA-PBE.

a = 4.962 Å, b = 8.473 Å, c = 8.443 Å
α = 124.71°, β = 90.00°, γ = 107.03°
Site moments in Bohr magnetons follow the coordinates.
Element x y z (fractional)
Dy1 0.869 0.737 0.909  0.01
Dy2 0.131 0.263 0.091  0.01
Sc1 0.308 0.615 0.604  0.02
Sc2 0.938 0.877 0.591  0.14
Sc3 0.615 0.231 0.689  0.12
Sc4 0.385 0.769 0.311  0.12
Sc5 0.062 0.123 0.409  0.14
Sc6 0.692 0.385 0.396  0.02
Al1 0.518 0.036 0.870  0.00
Al2 0.482 0.964 0.130  0.00
Al3 0.768 0.536 0.135  0.00
Al4 0.232 0.464 0.865  0.00

Properties
The space group is No. 12. The total energy is -5.4067 eV/atom. The formation energy comes out at -0.226 eV/atom.

=====

This record from the Alexandria database describes crystalline LaTe3Rh3 at its relaxed geometry. The functional is GGA-PBE.

a = 7.173 Å, b = 7.173 Å, c = 7.173 Å
α = 90.00°, β = 90.00°, γ = 90.00°
Element x y z (fractional)
Te1 0.250 0.000 0.500
Te2 0.000 0.500 0.250
Te3 0.500 0.750 0.000
Te4 0.750 0.000 0.500
Te5 0.000 0.500 0.750
Te6 0.500 0.250 0.000
Rh1 0.000 0.250 0.500
Rh2 0.000 0.750 0.500
Rh3 0.500 0.000 0.750
Rh4 0.750 0.500 0.000
Rh5 0.500 0.000 0.250
Rh6 0.250 0.500 0.000
La1 0.500 0.500 0.500
La2 0.000 0.000 0.000

Properties
Its energy relative to the elements, uncorrected is -354.2 meV/atom. The space group is No. 223. The total energy is -5.5552 eV/atom.

=====

This record from the Alexandria database describes crystalline AcBi2Pd9 at its relaxed geometry. The functional is GGA-PBE.

a = 4.223 Å, b = 4.223 Å, c = 12.455 Å
α = 90.00°, β = 90.00°, γ = 90.00°
Element x y z (fractional)
Ac1 0.000 0.000 0.000
Bi1 0.000 0.000 0.337
Bi2 0.000 0.000 0.663
Pd1 0.500 0.500 0.000
Pd2 0.500 0.500 0.342
Pd3 0.500 0.500 0.658
Pd4 0.500 0.000 0.177
Pd5 0.500 0.000 0.500
Pd6 0.500 0.000 0.823
Pd7 0.000 0.500 0.177
Pd8 0.000 0.500 0.500
Pd9 0.000 0.500 0.823

Properties
The space group is No. 123. The total energy is -5.2735 eV/atom. The formation energy comes out at -0.390 eV/atom.

=====

This record from the Alexandria database describes crystalline Pm16Sm7Er6 at its relaxed geometry. The functional is GGA-PBE.

a = 11.305 Å, b = 11.305 Å, c = 11.305 Å
α = 60.00°, β = 60.00°, γ = 60.00°
Element x y z (fractional)
Pm1 0.875 0.875 0.376
Pm2 0.875 0.875 0.875
Pm3 0.875 0.376 0.875
Pm4 0.376 0.875 0.875
Pm5 0.125 0.125 0.125
Pm6 0.125 0.125 0.624
Pm7 0.125 0.624 0.125
Pm8 0.624 0.125 0.125
Pm9 0.650 0.650 0.049
Pm10 0.650 0.650 0.650
Pm11 0.650 0.049 0.650
Pm12 0.049 0.650 0.650
Pm13 0.350 0.350 0.350
Pm14 0.350 0.350 0.951
Pm15 0.350 0.951 0.350
Pm16 0.951 0.350 0.350
Sm1 0.000 0.000 0.000
Sm2 0.500 0.000 0.500
Sm3 0.000 0.500 0.000
Sm4 0.000 0.500 0.500
Sm5 0.500 0.000 0.000
Sm6 0.000 0.000 0.500
Sm7 0.500 0.500 0.000
Er1 0.264 0.736 0.264
Er2 0.736 0.264 0.736
Er3 0.736 0.264 0.264
Er4 0.264 0.736 0.736
Er5 0.736 0.736 0.264
Er6 0.264 0.264 0.736

Properties
The space group is No. 225. The total energy is -4.4764 eV/atom. The formation energy comes out at 0.228 eV/atom.

=====

This record from the Alexandria database describes crystalline KRePd2 at its relaxed geometry. The functional is GGA-PBE.

a = 7.625 Å, b = 7.625 Å, c = 6.262 Å
α = 52.50°, β = 52.50°, γ = 90.00°
Site moments in Bohr magnetons follow the coordinates.
Element x y z (fractional)
Re1 0.000 0.000 0.000  1.83
Re2 0.750 0.250 0.500  1.83
K1 0.500 0.500 0.000  0.02
K2 0.250 0.750 0.500  0.02
Pd1 0.690 0.125 0.250  0.27
Pd2 0.060 0.625 0.250  0.26
Pd3 0.375 0.310 0.750  0.29
Pd4 0.875 0.940 0.750  0.28

Properties
The space group is No. 122. The calculation puts the energy above the most stable polymorph in this dataset at 4 meV per atom. The total energy is -4.9176 eV/atom. The formation energy comes out at 1.065 eV/atom.

=====

This record from the Alexandria database describes crystalline YAsWBr2 at its relaxed geometry. The functional is GGA-PBE.

a = 5.103 Å, b = 5.103 Å, c = 4.980 Å
α = 90.00°, β = 90.00°, γ = 90.00°
Site moments in Bohr magnetons follow the coordinates.
Element x y z (fractional)
Y1 0.500 0.500 0.500  0.15
As1 0.000 0.000 0.500  -0.03
Br1 0.000 0.500 0.000  0.04
Br2 0.500 0.000 0.000  0.04
W1 0.000 0.000 0.000  1.24

Properties
Its energy relative to the elements, uncorrected is 278.9 meV/atom. The space group is No. 123. The calculation puts the energy above the most stable polymorph in this dataset at 0 meV per atom. The total energy is -5.2036 eV/atom.